ZrMn2 | PBE | relaxed

- ΔH_f (0 K): 0.347 eV/atom
- V: 16.37 A^3/atom

Structure (CIF):
```
data_ZrMn2
_cell_length_a 2.895
_cell_length_b 14.638
_cell_length_c 4.634
_cell_angle_alpha 90.00
_cell_angle_beta 90.00
_cell_angle_gamma 90.00
_symmetry_space_group_name_H-M 'C m c m'
_symmetry_Int_Tables_number 63
_symmetry_space_group_name_Hall '-C 2c 2'
loop_
_atom_site_label
_atom_site_type_symbol
_atom_site_fract_x
_atom_site_fract_y
_atom_site_fract_z
Zr1 Zr 0.000 0.212 0.250
Mn1 Mn 0.000 0.091 0.750
Mn2 Mn 0.000 0.456 0.750
```